## Sm2Be3Cu12Ag (PBE)

Data for a relaxed structure of Sm2Be3Cu12Ag.

Results
- Calculated volume: 297.02 Å³/cell
- Symmetry: No. 166
- DFT formation energy: 346 meV/atom
- E: -3.69 eV per atom

Unit cell a=7.563 b=7.563 c=7.563 alpha=58.74 beta=58.74 gamma=58.74
Positions (direct):
1 Sm 0.604 0.604 0.604
2 Sm 0.396 0.396 0.396
3 Be 0.500 0.000 0.000
4 Be 0.000 0.500 0.000
5 Be 0.000 0.000 0.500
6 Cu 0.339 0.339 0.892
7 Cu 0.866 0.866 0.422
8 Cu 0.422 0.866 0.866
9 Cu 0.892 0.339 0.339
10 Cu 0.866 0.422 0.866
11 Cu 0.339 0.892 0.339
12 Cu 0.661 0.661 0.108
13 Cu 0.134 0.134 0.578
14 Cu 0.578 0.134 0.134
15 Cu 0.108 0.661 0.661
16 Cu 0.134 0.578 0.134
17 Cu 0.661 0.108 0.661
18 Ag 0.000 0.000 0.000

=====

## Tb2Be3Cu12Ag (PBE)

Data for a relaxed structure of Tb2Be3Cu12Ag.

Results
- Calculated volume: 292.44 Å³/cell
- Symmetry: No. 166
- DFT formation energy: 348 meV/atom
- E: -3.68 eV per atom

Unit cell a=7.502 b=7.502 c=7.502 alpha=59.10 beta=59.10 gamma=59.10
Positions (direct):
1 Tb 0.601 0.601 0.601
2 Tb 0.399 0.399 0.399
3 Be 0.500 0.000 0.000
4 Be 0.000 0.500 0.000
5 Be 0.000 0.000 0.500
6 Cu 0.339 0.339 0.891
7 Cu 0.861 0.861 0.425
8 Cu 0.425 0.861 0.861
9 Cu 0.891 0.339 0.339
10 Cu 0.861 0.425 0.861
11 Cu 0.339 0.891 0.339
12 Cu 0.661 0.661 0.109
13 Cu 0.139 0.139 0.575
14 Cu 0.575 0.139 0.139
15 Cu 0.109 0.661 0.661
16 Cu 0.139 0.575 0.139
17 Cu 0.661 0.109 0.661
18 Ag 0.000 0.000 0.000